Density functional theory data (GGA-PBE) for crystalline SrPu2TeO8 at its relaxed geometry.

* uncorrected energy: -8.423 eV per atom
* total magnetic moment: 12.00 Bohr magnetons per cell
* raw formation energy: -2327 meV per atom

Geometry as CIF:
```
data_SrPu2TeO8
_chemical_formula_sum 'Sr2 Pu4 Te2 O16'
_symmetry_space_group_name_H-M 'C m m m'
_symmetry_Int_Tables_number 65
_symmetry_space_group_name_Hall '-C 2 2'
_cell_length_a 7.143
_cell_length_b 7.373
_cell_length_c 7.030
_cell_angle_alpha 90.00
_cell_angle_beta 90.00
_cell_angle_gamma 90.00
loop_
_atom_site_label
_atom_site_type_symbol
_atom_site_fract_x
_atom_site_fract_y
_atom_site_fract_z
_atom_site_occupancy
Sr1 Sr 0.000 0.000 0.000 1
Pu1 Pu 0.000 0.500 0.253 1
Te1 Te 0.000 0.000 0.500 1
O1 O 0.000 0.306 0.500 1
O2 O 0.000 0.332 0.000 1
O3 O 0.207 0.000 0.279 1
```